Entry 1:
## MgAsS2 (meta-GGA SCAN)

Data for MgAsS2 at its PBEsol-relaxed geometry.

Results
Offset from the most stable computed form ... 0.3234 eV/atom

a = 6.458 Å, b = 6.458 Å, c = 6.458 Å
α = 90.00°, β = 90.00°, γ = 90.00°
Space group Fm-3m (No. 225)
One atom of each set of equivalent atoms:
Mg 0.000 0.000 0.000 x4
As 0.000 0.000 0.500 x4
S 0.250 0.250 0.250 x8

Entry 2:
## Li4TiCo3O8 (meta-GGA SCAN)

Data for Li4TiCo3O8 at its PBEsol-relaxed geometry.

Results
Offset from the most stable computed form ... 0.0318 eV/atom

a = 5.6440 Å, b = 5.6440 Å, c = 14.2482 Å
α = 90.00°, β = 90.00°, γ = 120.00°
Space group R-3m (No. 166, hexagonal axes)
One atom of each set of equivalent atoms:
Li 0.0000 0.0000 0.0000 x3
Li 0.0000 0.5000 0.0000 x9
Ti 0.0000 0.0000 0.5000 x3
Co 0.0000 0.5000 0.5000 x9
O 0.0000 0.0000 0.2366 x6
O 0.0026 0.5013 0.7562 x18

Entry 3:
## YGa2Ge2 (meta-GGA SCAN)

Data for YGa2Ge2 at its PBEsol-relaxed geometry.

Results
Formation enthalpy at 0 K ... -0.25 eV/atom

a = 3.917 Å, b = 3.917 Å, c = 13.010 Å
α = 90.00°, β = 90.00°, γ = 90.00°
Space group I4/mmm (No. 139)
One atom of each set of equivalent atoms:
Y 0.000 0.000 0.000 x2
Ga 0.000 0.500 0.250 x4
Ge 0.000 0.000 0.402 x4

| no. | spin magnetization (μB per cell) |
| --- | --- |
| 1 | 0.0 |
| 2 | 3.0 |
| 3 | 0.0 |